Record 1
A plane-wave DFT calculation with PBE was carried out for a relaxed Tb3Pm4Ru4 crystal.

It has space group Immm (No. 71), with a = 3.5490 Å, b = 8.9305 Å, c = 16.8288 Å, α = 90.00°, β = 90.00° and γ = 90.00°. Symmetry generates all atoms from Tb at (0.0000, 0.0000, 0.0000), Tb at (0.0000, 0.5000, 0.0938), Pm at (0.0000, 0.3084, 0.3360), Ru at (0.0000, 0.0000, 0.2655) and Ru at (0.0000, 0.2272, 0.5000).

As for the formation energy: -0.194 eV per atom.

***

Record 2
A plane-wave DFT calculation with PBE was carried out for a relaxed Rb2CaNpSe4 crystal.

It has space group P2/m (No. 10), with a = 7.4437 Å, b = 4.3363 Å, c = 8.3215 Å, α = 90.00°, β = 107.32° and γ = 90.00°. Symmetry generates all atoms from Rb at (0.0000, 0.0000, 0.0000), Rb at (0.5000, 0.5000, 0.0000), Ca at (0.0000, 0.5000, 0.5000), Np at (0.5000, 0.0000, 0.5000), Se at (0.2482, 0.0000, 0.6947) and Se at (0.2815, 0.5000, 0.3065).

For the uncorrected formation energy, the calculation gives -11.31 eV per formula unit.

***

Looking at E_tot for the records above, in order, we have -6.557 -5.265 eV/atom.